1.
Computed, not measured: TaCrRu2 after structural relaxation at the GGA-PBE level of DFT.

a b c (Å): 4.360 4.360 4.360
angles (deg): 60.00 60.00 60.00
Site moments in Bohr magnetons follow the coordinates.
Fractional coordinates of all 4 atoms:
Cr (0.500, 0.500, 0.500)  0.08
Ru (0.000, 0.000, 0.000)  0.61
Ru (0.750, 0.750, 0.750)  0.78
Ta (0.250, 0.250, 0.250)  -0.04

Values from the calculation:
- Mass density: 12.33 Mg/m³
- Volume: 14.65 A^3/atom
- E_form: 0.14 eV per atom
- Fermi-level density of states: 1.392 states/eV per atom
- Electronic total energy: -39.45 eV/cell



2.
Computed, not measured: TaCrRu after structural relaxation at the GGA-PBE level of DFT.

a b c (Å): 5.464 4.313 9.194
angles (deg): 90.00 125.27 90.00
Fractional coordinates of all 12 atoms:
Ru (0.757, 0.000, 0.008)
Ru (0.243, 0.000, 0.992)
Ru (0.757, 0.500, 0.508)
Ru (0.243, 0.500, 0.492)
Cr (0.225, 0.000, 0.650)
Cr (0.775, 0.000, 0.350)
Cr (0.225, 0.500, 0.150)
Cr (0.775, 0.500, 0.850)
Ta (0.745, 0.000, 0.677)
Ta (0.255, 0.000, 0.323)
Ta (0.745, 0.500, 0.177)
Ta (0.255, 0.500, 0.823)

Values from the calculation:
- Mass density: 12.54 Mg/m³
- Volume: 14.74 A^3/atom
- E_form: 0.02 eV per atom
- Fermi-level density of states: 1.377 states/eV per atom
- Energy relative to the lowest polymorph listed for this composition: 0.173 eV per atom
- Electronic total energy: -122.78 eV/cell



The highest Fermi-level density of states belongs to which entry? TaCrRu2